(1)
First-principles (PBE-GGA) data for a relaxed structure of Tb5CeS6, as listed in Alexandria.

abc: 6.8327 6.8327 6.8281
angles: 99.65 99.65 120.07
Fractional positions:
Tb 0.0000 0.0000 0.0000
Tb 0.1672 0.8328 0.5000
Tb 0.3330 0.6670 0.0000
Tb 0.6670 0.3330 0.0000
Tb 0.8328 0.1672 0.5000
Ce 0.5000 0.5000 0.5000
S 0.0785 0.4156 0.2472
S 0.2467 0.2467 0.7527
S 0.4156 0.0785 0.2472
S 0.5844 0.9215 0.7528
S 0.7533 0.7533 0.2473
S 0.9215 0.5844 0.7528

Energy relative to the elements, uncorrected   -2.0198 eV/atom
SG   C2/m (12)

=====

(2)
First-principles (PBE-GGA) data for a relaxed structure of NaTl3Pd3, as listed in Alexandria.

abc: 6.8749 6.8749 6.8749
angles: 77.19 77.19 77.19
Fractional positions:
Na 0.2478 0.2478 0.2478
Na 0.7522 0.7522 0.7522
Tl 0.0759 0.3449 0.8283
Tl 0.1717 0.9241 0.6551
Tl 0.3449 0.8283 0.0759
Tl 0.6551 0.1717 0.9241
Tl 0.8283 0.0759 0.3449
Tl 0.9241 0.6551 0.1717
Pd 0.2016 0.5893 0.4570
Pd 0.4107 0.5430 0.7984
Pd 0.4570 0.2016 0.5893
Pd 0.5430 0.7984 0.4107
Pd 0.5893 0.4570 0.2016
Pd 0.7984 0.4107 0.5430

Energy above the lowest structure with this stoichiometry   0.14 eV/f.u.
SG   R-3 (148)
ΔE_f   -0.121 eV/atom

=====

no.,calculated total energy (eV/f.u.),spin magnetization (μB/cell)
1,-78.09,0.63
2,-24.85,0.00